Entry 1:
Density functional theory data (GGA-PBE) for MnSiRu2 after structural relaxation.

Cell: 2.7752 2.7752 7.9617 Å, 90.00 90.00 115.04°
Last column: nearest neighbours and their distance in Å.
Atoms (fractional coordinates):
Mn (0.5000, 0.5000, 0.7500)  4 Ru 2.60, 4 Mn 2.78
Ru (0.0000, 0.0000, 0.0176)  2 Si 2.38, 2 Mn 2.60
Ru (0.0000, 0.0000, 0.4824)  2 Si 2.38, 2 Mn 2.60
Si (0.5000, 0.5000, 0.2500)  4 Ru 2.38

## Properties
* raw total energy: -8.27 eV/atom
* symmetry: No. 65
* formation energy from raw total energies: 18 meV per atom

Entry 2:
Density functional theory data (GGA-PBE) for MnSiRu2 after structural relaxation.

Cell: 4.9755 4.9755 4.9755 Å, 146.29 128.14 63.29°
Last column: nearest neighbours and their distance in Å.
Atoms (fractional coordinates):
Mn (0.2500, 0.7500, 0.5000)  4 Si 2.61, 8 Ru 2.76-2.87, 2 Mn 2.89
Ru (0.9718, 0.9718, 0.0000)  2 Si 2.37
Ru (0.5282, 0.5282, 0.0000)  2 Si 2.37
Si (0.7500, 0.2500, 0.5000)  4 Ru 2.37, 4 Mn 2.61

## Properties
* raw total energy: -8.44 eV/atom
* symmetry: No. 71
* formation energy from raw total energies: -156 meV per atom

Entry 3:
Density functional theory data (GGA-PBE) for MnSiRu2 after structural relaxation.

Cell: 2.9689 2.9688 5.9471 Å, 90.00 90.00 90.00°
Last column: nearest neighbours and their distance in Å.
Atoms (fractional coordinates):
Mn (0.5000, 0.5000, 0.7500)  8 Ru 2.62
Ru (0.0000, 0.0000, 0.0147)  4 Si 2.52, 4 Mn 2.62, 1 Ru 2.80
Ru (0.0000, 0.0000, 0.4853)  4 Si 2.52, 4 Mn 2.62, 1 Ru 2.80
Si (0.5000, 0.5000, 0.2500)  8 Ru 2.52

## Properties
* raw total energy: -8.66 eV/atom
* symmetry: No. 123
* formation energy from raw total energies: -373 meV per atom

Entry 4:
Density functional theory data (GGA-PBE) for Mn2SiRu after structural relaxation.

Cell: 8.2595 8.2595 8.2595 Å, 18.37 18.37 18.37°
Last column: nearest neighbours and their distance in Å.
Atoms (fractional coordinates):
Mn (0.0034, 0.0034, 0.0034)  3 Si 2.47, 3 Ru 2.60, 6 Mn 2.64
Mn (0.4966, 0.4966, 0.4966)  3 Si 2.47, 3 Ru 2.60, 6 Mn 2.64
Ru (0.2500, 0.2500, 0.2500)  6 Mn 2.60, 6 Ru 2.64
Si (0.7500, 0.7500, 0.7500)  6 Mn 2.47, 6 Si 2.64

## Properties
* raw total energy: -8.28 eV/atom
* symmetry: No. 166
* formation energy from raw total energies: -23 meV per atom

Entry 5:
Density functional theory data (GGA-PBE) for Mn2SiRu after structural relaxation.

Cell: 6.6513 6.6513 5.3307 Å, 51.40 51.40 90.00°
Last column: nearest neighbours and their distance in Å.
Atoms (fractional coordinates):
Ru (0.0000, 0.0000, 0.0000)  4 Mn 2.48, 2 Si 2.51
Ru (0.7500, 0.2500, 0.5000)  4 Mn 2.48, 2 Si 2.51
Si (0.5000, 0.5000, 0.0000)  4 Mn 2.39, 2 Ru 2.51
Si (0.2500, 0.7500, 0.5000)  4 Mn 2.39, 2 Ru 2.51
Mn (0.6155, 0.1250, 0.2500)  2 Si 2.39, 2 Ru 2.48, 2 Mn 2.51
Mn (0.1345, 0.6250, 0.2500)  2 Si 2.39, 2 Ru 2.48, 2 Mn 2.51
Mn (0.3750, 0.3845, 0.7500)  2 Si 2.39, 2 Ru 2.48, 2 Mn 2.51
Mn (0.8750, 0.8655, 0.7500)  2 Si 2.39, 2 Ru 2.48, 2 Mn 2.51

## Properties
* raw total energy: -7.92 eV/atom
* symmetry: No. 122
* formation energy from raw total energies: 335 meV per atom

Entry 6:
Density functional theory data (GGA-PBE) for MnSiRu2 after structural relaxation.

Cell: 3.9169 2.7131 5.0124 Å, 74.32 90.00 90.00°
Last column: nearest neighbours and their distance in Å.
Atoms (fractional coordinates):
Mn (0.5000, 0.5549, 0.7671)  2 Si 2.40, 7 Ru 2.52-2.68
Ru (0.0000, 0.9557, 0.9628)  3 Si 2.50-2.69, 4 Mn 2.56, 2 Ru 2.71
Ru (0.5000, 0.2929, 0.2891)  3 Mn 2.52-2.68, 4 Si 2.55-2.56, 2 Ru 2.71
Si (0.0000, 0.6965, 0.4809)  2 Mn 2.40, 5 Ru 2.50-2.56

## Properties
* raw total energy: -8.44 eV/atom
* symmetry: No. 38
* formation energy from raw total energies: -158 meV per atom

Entry 7:
Density functional theory data (GGA-PBE) for MnSiRu after structural relaxation.

Cell: 3.9755 3.9755 3.9755 Å, 60.00 60.00 60.00°
Last column: nearest neighbours and their distance in Å.
Atoms (fractional coordinates):
Mn (0.0000, 0.0000, 0.0000)  4 Si 2.43
Ru (0.5000, 0.5000, 0.5000)  4 Si 2.43
Si (0.7500, 0.7500, 0.7500)  4 Mn 2.43, 4 Ru 2.43

## Properties
* raw total energy: -8.11 eV/atom
* symmetry: No. 216
* formation energy from raw total energies: -156 meV per atom

Entry 8:
Density functional theory data (GGA-PBE) for MnSiRu after structural relaxation.

Cell: 4.4861 4.4861 4.4861 Å, 144.10 134.27 59.46°
Last column: nearest neighbours and their distance in Å.
Atoms (fractional coordinates):
Mn (0.0051, 0.0051, 0.0000)  5 Ru 2.52-2.61, 5 Si 2.55-2.65, 2 Mn 2.76
Ru (0.3292, 0.3292, 0.0000)  5 Mn 2.52-2.61, 5 Si 2.56-2.62, 2 Ru 2.76
Si (0.6656, 0.6656, 0.0000)  5 Mn 2.55-2.65, 5 Ru 2.56-2.62, 2 Si 2.76

## Properties
* raw total energy: -8.16 eV/atom
* symmetry: No. 44
* formation energy from raw total energies: -204 meV per atom

Entry 9:
Density functional theory data (GGA-PBE) for MnSiRu4 after structural relaxation.

Cell: 5.0527 5.0527 5.0527 Å, 60.00 60.00 60.00°
Last column: nearest neighbours and their distance in Å.
Atoms (fractional coordinates):
Mn (0.0000, 0.0000, 0.0000)  12 Ru 2.96, 4 Si 3.09
Si (0.7500, 0.7500, 0.7500)  12 Ru 2.96, 4 Mn 3.09
Ru (0.8742, 0.3753, 0.3753)  6 Ru 2.52-2.53
Ru (0.3753, 0.3753, 0.8742)  6 Ru 2.52-2.53
Ru (0.3753, 0.8742, 0.3753)  6 Ru 2.52-2.53
Ru (0.3753, 0.3753, 0.3753)  6 Ru 2.52-2.53

## Properties
* raw total energy: -8.06 eV/atom
* symmetry: No. 216
* formation energy from raw total energies: 553 meV per atom

Entry 10:
Density functional theory data (GGA-PBE) for Mn3SiRu after structural relaxation.

Cell: 4.6875 4.6875 4.6875 Å, 90.00 90.00 90.00°
Last column: nearest neighbours and their distance in Å.
Atoms (fractional coordinates):
Ru (0.0000, 0.0000, 0.0000)  6 Mn 2.34
Si (0.5000, 0.5000, 0.5000)  12 Mn 3.31
Mn (0.0000, 0.5000, 0.0000)  2 Ru 2.34
Mn (0.0000, 0.0000, 0.5000)  2 Ru 2.34
Mn (0.5000, 0.0000, 0.0000)  2 Ru 2.34

## Properties
* raw total energy: -7.18 eV/atom
* symmetry: No. 221
* formation energy from raw total energies: 1261 meV per atom

Entry 11:
Density functional theory data (GGA-PBE) for Mn5SiRu6 after structural relaxation.

Cell: 4.2261 7.3136 7.3136 Å, 119.98 106.79 106.79°
Last column: nearest neighbours and their distance in Å.
Atoms (fractional coordinates):
Ru (0.2460, 0.0819, 0.4103)  1 Si 2.55, 7 Mn 2.57-2.61
Ru (0.7540, 0.5897, 0.9181)  1 Si 2.55, 7 Mn 2.57-2.61
Ru (0.7431, 0.2429, 0.2429)  2 Si 2.56, 6 Mn 2.60-2.61
Ru (0.2569, 0.7571, 0.7571)  2 Si 2.56, 6 Mn 2.60-2.61
Ru (0.2460, 0.4103, 0.0819)  1 Si 2.55, 7 Mn 2.57-2.61
Ru (0.7540, 0.9181, 0.5897)  1 Si 2.55, 7 Mn 2.57-2.61
Si (0.0000, 0.0000, 0.0000)  8 Ru 2.55-2.56
Mn (0.5000, 0.1702, 0.8298)  8 Ru 2.57-2.60
Mn (0.0000, 0.3343, 0.6657)  8 Ru 2.60-2.61
Mn (0.5000, 0.5000, 0.5000)  8 Ru 2.57-2.61
Mn (0.0000, 0.6657, 0.3343)  8 Ru 2.60-2.61
Mn (0.5000, 0.8298, 0.1702)  8 Ru 2.57-2.60

## Properties
* raw total energy: -9.04 eV/atom
* symmetry: No. 71
* formation energy from raw total energies: -134 meV per atom

Entry 12:
Density functional theory data (GGA-PBE) for MnSiRu3 after structural relaxation.

Cell: 4.3722 4.3722 4.3722 Å, 90.00 90.00 90.00°
Last column: nearest neighbours and their distance in Å.
Atoms (fractional coordinates):
Ru (0.0000, 0.5000, 0.0000)  2 Mn 2.19
Ru (0.0000, 0.0000, 0.5000)  2 Mn 2.19
Ru (0.5000, 0.0000, 0.0000)  2 Mn 2.19
Si (0.5000, 0.5000, 0.5000)  12 Ru 3.09
Mn (0.0000, 0.0000, 0.0000)  6 Ru 2.19

## Properties
* raw total energy: -7.19 eV/atom
* symmetry: No. 221
* formation energy from raw total energies: 1290 meV per atom